# Mg2FeIr

A crystal of Mg2FeIr relaxed with PBEsol (meta-GGA SCAN, the Alexandria database).

Geometry as POSCAR:
```
Mg2FeIr
1.0
3.151 0.000 0.000
0.000 4.307 0.000
0.000 0.000 4.324
Fe Mg Ir
1 2 1
Direct
0.500 0.500 0.000 Fe
0.500 0.000 0.500 Mg
0.000 0.000 0.000 Mg
0.000 0.500 0.500 Ir
```

Symmetry ... Pmmm (47)
Energy relative to the elements ... -167 meV per atom


# MgFe2Ir

A crystal of MgFe2Ir relaxed with PBEsol (meta-GGA SCAN, the Alexandria database).

Geometry as POSCAR:
```
MgFe2Ir
1.0
2.912 0.000 0.000
0.000 2.912 0.000
0.000 0.000 6.307
Ir Fe Mg
1 2 1
Direct
0.000 0.000 0.470 Ir
0.500 0.500 0.235 Fe
0.000 0.000 0.040 Fe
0.500 0.500 0.755 Mg
```

Symmetry ... P4mm (99)
Energy relative to the elements ... -98 meV per atom


# MgFeIr2

A crystal of MgFeIr2 relaxed with PBEsol (meta-GGA SCAN, the Alexandria database).

Geometry as POSCAR:
```
MgFeIr2
1.0
-0.772 -1.645 -2.241
4.049 -1.432 -0.345
-2.582 -1.800 4.068
Fe Ir Mg
1 2 1
Direct
0.258 0.758 0.517 Fe
0.745 0.245 0.490 Ir
0.992 0.992 0.983 Ir
0.505 0.505 0.009 Mg
```

Symmetry ... Imm2 (44)
Energy relative to the elements ... -172 meV per atom


# MgFeIr2

A crystal of MgFeIr2 relaxed with PBEsol (meta-GGA SCAN, the Alexandria database).

Geometry as POSCAR:
```
MgFeIr2
1.0
-0.440 2.678 -0.267
-0.823 -1.086 4.383
4.691 0.785 0.145
Ir Fe Mg
2 1 1
Direct
0.759 0.518 0.763 Ir
0.241 0.482 0.237 Ir
0.500 0.000 0.000 Fe
0.000 0.000 0.500 Mg
```

Symmetry ... C2/m (12)
Energy relative to the elements ... -231 meV per atom


# Mg2FeIr

A crystal of Mg2FeIr relaxed with PBEsol (meta-GGA SCAN, the Alexandria database).

Geometry as POSCAR:
```
Mg2FeIr
1.0
-2.232 1.970 0.422
-1.719 -2.191 1.135
2.481 1.419 6.500
Ir Mg Fe
1 2 1
Direct
0.500 0.500 0.718 Ir
0.500 0.500 0.294 Mg
0.000 0.000 0.957 Mg
0.000 0.000 0.530 Fe
```

Symmetry ... P4mm (99)
Energy relative to the elements ... -187 meV per atom


# Mg2FeIr

A crystal of Mg2FeIr relaxed with PBEsol (meta-GGA SCAN, the Alexandria database).

Geometry as POSCAR:
```
Mg2FeIr
1.0
2.882 0.000 0.000
0.000 4.676 -0.080
0.000 -1.449 4.447
Mg Ir Fe
2 1 1
Direct
0.000 0.000 0.500 Mg
0.000 0.500 0.000 Mg
0.500 0.500 0.500 Ir
0.500 0.000 0.000 Fe
```

Symmetry ... Cmmm (65)
Energy relative to the elements ... -126 meV per atom


# Mg2FeIrO6

A crystal of Mg2FeIrO6 relaxed with PBEsol (meta-GGA SCAN, the Alexandria database).

Geometry as POSCAR:
```
Mg2FeIrO6
1.0
4.979 0.000 0.003
0.000 5.205 0.000
0.045 0.000 7.303
O Mg Fe Ir
12 4 2 2
Direct
0.635 0.939 0.743 O
0.365 0.061 0.257 O
0.690 0.680 0.069 O
0.135 0.561 0.243 O
0.327 0.304 0.570 O
0.865 0.439 0.757 O
0.173 0.804 0.930 O
0.190 0.820 0.569 O
0.810 0.180 0.431 O
0.673 0.696 0.430 O
0.310 0.320 0.931 O
0.827 0.196 0.070 O
0.517 0.433 0.252 Mg
0.983 0.933 0.248 Mg
0.017 0.067 0.752 Mg
0.483 0.567 0.748 Mg
0.500 0.000 0.500 Fe
0.000 0.500 0.000 Fe
0.000 0.500 0.500 Ir
0.500 0.000 0.000 Ir
```

Symmetry ... P2_1/c (14)


# MnFe2Ir

A crystal of MnFe2Ir relaxed with PBEsol (meta-GGA SCAN, the Alexandria database).

Geometry as POSCAR:
```
MnFe2Ir
1.0
4.094 0.000 0.000
2.047 3.546 0.000
2.047 1.182 3.343
Ir Fe Mn
1 2 1
Direct
0.500 0.500 0.500 Ir
0.250 0.250 0.250 Fe
0.000 0.000 0.000 Fe
0.750 0.750 0.750 Mn
```

Symmetry ... F-43m (216)
Energy relative to the elements ... -187 meV per atom


# MnFe2Ir

A crystal of MnFe2Ir relaxed with PBEsol (meta-GGA SCAN, the Alexandria database).

Geometry as POSCAR:
```
MnFe2Ir
1.0
-2.256 -0.671 -1.580
-0.572 -2.166 1.737
-3.385 3.558 3.321
Ir Mn Fe
1 1 2
Direct
0.000 0.000 0.504 Ir
0.500 0.500 0.767 Mn
0.000 0.000 0.002 Fe
0.500 0.500 0.227 Fe
```

Symmetry ... P4mm (99)
Energy relative to the elements ... -170 meV per atom


# Mn2FeIr

A crystal of Mn2FeIr relaxed with PBEsol (meta-GGA SCAN, the Alexandria database).

Geometry as POSCAR:
```
Mn2FeIr
1.0
3.582 0.000 0.000
0.000 3.582 0.000
-1.791 -1.791 3.617
Mn Fe Ir
2 1 1
Direct
0.750 0.250 0.500 Mn
0.000 0.000 0.000 Mn
0.500 0.500 0.000 Fe
0.250 0.750 0.500 Ir
```

Symmetry ... I-4m2 (119)
Energy above the lowest structure with this stoichiometry ... 0 meV per atom
Energy relative to the elements ... -316 meV per atom


# Mn2FeIr

A crystal of Mn2FeIr relaxed with PBEsol (meta-GGA SCAN, the Alexandria database).

Geometry as POSCAR:
```
Mn2FeIr
1.0
2.848 0.000 0.000
0.000 2.848 0.000
0.000 0.000 5.913
Fe Ir Mn
1 1 2
Direct
0.500 0.500 0.000 Fe
0.500 0.500 0.500 Ir
0.000 0.000 0.229 Mn
0.000 0.000 0.771 Mn
```

Symmetry ... P4/mmm (123)
Energy above the lowest structure with this stoichiometry ... 67 meV per atom
Energy relative to the elements ... -249 meV per atom


# Mn2FeIr

A crystal of Mn2FeIr relaxed with PBEsol (meta-GGA SCAN, the Alexandria database).

Geometry as POSCAR:
```
Mn2FeIr
1.0
-2.053 -1.360 -0.630
0.957 -0.486 2.304
-4.853 5.825 3.246
Mn Ir Fe
2 1 1
Direct
0.000 0.000 0.985 Mn
0.500 0.500 0.753 Mn
0.500 0.500 0.248 Ir
0.000 0.000 0.514 Fe
```

Symmetry ... Cmm2 (35)
Energy above the lowest structure with this stoichiometry ... 420 meV per atom
Energy relative to the elements ... 104 meV per atom


| no. | total DFT energy (no corrections) (eV/cell) | mass density (g/cm3) |
| --- | --- | --- |
| 1 | -99.84 | 8.4 |
| 2 | -112.72 | 10.2 |
| 3 | -165.99 | 14.0 |
| 4 | -166.23 | 13.8 |
| 5 | -99.92 | 7.7 |
| 6 | -99.68 | 8.3 |
| 7 | -310.22 | 6.9 |
| 8 | -126.36 | 12.3 |
| 9 | -126.29 | 12.5 |
| 10 | -127.00 | 12.8 |
| 11 | -126.73 | 12.4 |
| 12 | -125.32 | 12.3 |